# Sr3SbOs, PBEsol geometry, DFT SCAN
# density of states at the Fermi level = 4.17 states/eV/f.u.
# space group = Pm-3m, No. 221
data_Sr3SbOs
_cell_length_a 5.555
_cell_length_b 5.555
_cell_length_c 5.555
_cell_angle_alpha 90.00
_cell_angle_beta 90.00
_cell_angle_gamma 90.00
_space_group_name_H-M_alt 'P 1'
_space_group_IT_number 1
loop_
_space_group_symop_operation_xyz
'x,y,z'
loop_
_atom_site_label
_atom_site_fract_x
_atom_site_fract_y
_atom_site_fract_z
_atom_site_occupancy
Os1 0.000 0.000 0.000 1
Sr1 0.000 0.500 0.000 1
Sr2 0.500 0.000 0.000 1
Sr3 0.000 0.000 0.500 1
Sb1 0.500 0.500 0.500 1


# SrSb3Os, PBEsol geometry, DFT SCAN
# density of states at the Fermi level = 5.01 states/eV/f.u.
# space group = Pm-3m, No. 221
data_SrSb3Os
_cell_length_a 5.694
_cell_length_b 5.694
_cell_length_c 5.694
_cell_angle_alpha 90.00
_cell_angle_beta 90.00
_cell_angle_gamma 90.00
_space_group_name_H-M_alt 'P 1'
_space_group_IT_number 1
loop_
_space_group_symop_operation_xyz
'x,y,z'
loop_
_atom_site_label
_atom_site_fract_x
_atom_site_fract_y
_atom_site_fract_z
_atom_site_occupancy
Os1 0.500 0.500 0.500 1
Sb1 0.500 0.000 0.000 1
Sb2 0.000 0.500 0.000 1
Sr1 0.000 0.000 0.000 1
Sb3 0.000 0.000 0.500 1


# SrTiSb2Os, PBEsol geometry, DFT SCAN
# density of states at the Fermi level = 3.79 states/eV/f.u.
# space group = P4/mmm, No. 123
data_SrTiSb2Os
_cell_length_a 4.639
_cell_length_b 5.222
_cell_length_c 5.222
_cell_angle_alpha 90.00
_cell_angle_beta 90.00
_cell_angle_gamma 90.00
_space_group_name_H-M_alt 'P 1'
_space_group_IT_number 1
loop_
_space_group_symop_operation_xyz
'x,y,z'
loop_
_atom_site_label
_atom_site_fract_x
_atom_site_fract_y
_atom_site_fract_z
_atom_site_occupancy
Ti1 0.000 0.000 0.000 1
Sb1 0.000 0.500 0.000 1
Sb2 0.000 0.000 0.500 1
Os1 0.500 0.000 0.000 1
Sr1 0.500 0.500 0.500 1


# TaSbOs2, PBEsol geometry, DFT SCAN
# density of states at the Fermi level = 1.87 states/eV/f.u.
# space group = Pmm2, No. 25
data_TaSbOs2
_cell_length_a 3.033
_cell_length_b 4.063
_cell_length_c 5.381
_cell_angle_alpha 90.00
_cell_angle_beta 90.00
_cell_angle_gamma 90.00
_space_group_name_H-M_alt 'P 1'
_space_group_IT_number 1
loop_
_space_group_symop_operation_xyz
'x,y,z'
loop_
_atom_site_label
_atom_site_fract_x
_atom_site_fract_y
_atom_site_fract_z
_atom_site_occupancy
Os1 0.500 0.500 0.286 1
Ta1 0.500 0.500 0.781 1
Sb1 0.000 0.000 0.468 1
Os2 0.000 0.000 0.965 1


# Ta2SbOs, PBEsol geometry, DFT SCAN
# density of states at the Fermi level = 2.51 states/eV/f.u.
# space group = Cmmm, No. 65
data_Ta2SbOs
_cell_length_a 3.021
_cell_length_b 3.021
_cell_length_c 7.719
_cell_angle_alpha 90.00
_cell_angle_beta 90.00
_cell_angle_gamma 90.53
_space_group_name_H-M_alt 'P 1'
_space_group_IT_number 1
loop_
_space_group_symop_operation_xyz
'x,y,z'
loop_
_atom_site_label
_atom_site_fract_x
_atom_site_fract_y
_atom_site_fract_z
_atom_site_occupancy
Ta1 0.000 0.000 0.721 1
Ta2 0.000 0.000 0.279 1
Os1 0.500 0.500 0.500 1
Sb1 0.500 0.500 0.000 1


# Ta2SbOs, PBEsol geometry, DFT SCAN
# density of states at the Fermi level = 2.25 states/eV/f.u.
# space group = Pmmm, No. 47
data_Ta2SbOs
_cell_length_a 2.955
_cell_length_b 4.223
_cell_length_c 5.474
_cell_angle_alpha 90.00
_cell_angle_beta 90.00
_cell_angle_gamma 90.00
_space_group_name_H-M_alt 'P 1'
_space_group_IT_number 1
loop_
_space_group_symop_operation_xyz
'x,y,z'
loop_
_atom_site_label
_atom_site_fract_x
_atom_site_fract_y
_atom_site_fract_z
_atom_site_occupancy
Sb1 0.500 0.500 0.500 1
Os1 0.500 0.500 0.000 1
Ta1 0.000 0.000 0.241 1
Ta2 0.000 0.000 0.759 1


# TaSbOs2, PBEsol geometry, DFT SCAN
# density of states at the Fermi level = 2.24 states/eV/f.u.
# space group = P4/mmm, No. 123
data_TaSbOs2
_cell_length_a 3.602
_cell_length_b 4.246
_cell_length_c 4.246
_cell_angle_alpha 90.00
_cell_angle_beta 90.00
_cell_angle_gamma 90.00
_space_group_name_H-M_alt 'P 1'
_space_group_IT_number 1
loop_
_space_group_symop_operation_xyz
'x,y,z'
loop_
_atom_site_label
_atom_site_fract_x
_atom_site_fract_y
_atom_site_fract_z
_atom_site_occupancy
Os1 0.000 0.500 0.000 1
Sb1 0.500 0.500 0.500 1
Os2 0.000 0.000 0.500 1
Ta1 0.500 0.000 0.000 1


# TaSbOs2, PBEsol geometry, DFT SCAN
# density of states at the Fermi level = 2.17 states/eV/f.u.
# space group = Cm, No. 8
data_TaSbOs2
_cell_length_a 3.006
_cell_length_b 4.693
_cell_length_c 5.111
_cell_angle_alpha 107.88
_cell_angle_beta 107.10
_cell_angle_gamma 90.00
_space_group_name_H-M_alt 'P 1'
_space_group_IT_number 1
loop_
_space_group_symop_operation_xyz
'x,y,z'
loop_
_atom_site_label
_atom_site_fract_x
_atom_site_fract_y
_atom_site_fract_z
_atom_site_occupancy
Os1 0.990 0.939 0.979 1
Ta1 0.749 0.276 0.499 1
Sb1 0.510 0.478 0.019 1
Os2 0.252 0.806 0.503 1


# TaTlSb2Os, PBEsol geometry, DFT SCAN
# density of states at the Fermi level = 2.29 states/eV/f.u.
# space group = P4/mmm, No. 123
data_TaTlSb2Os
_cell_length_a 5.207
_cell_length_b 5.207
_cell_length_c 5.326
_cell_angle_alpha 90.00
_cell_angle_beta 90.00
_cell_angle_gamma 90.00
_space_group_name_H-M_alt 'P 1'
_space_group_IT_number 1
loop_
_space_group_symop_operation_xyz
'x,y,z'
loop_
_atom_site_label
_atom_site_fract_x
_atom_site_fract_y
_atom_site_fract_z
_atom_site_occupancy
Os1 0.500 0.500 0.500 1
Sb1 0.500 0.000 0.000 1
Ta1 0.000 0.000 0.000 1
Tl1 0.000 0.000 0.500 1
Sb2 0.000 0.500 0.000 1


# Tc2SbOs, PBEsol geometry, DFT SCAN
# density of states at the Fermi level = 3.46 states/eV/f.u.
# space group = Imm2, No. 44
data_Tc2SbOs
_cell_length_a 3.050
_cell_length_b 4.481
_cell_length_c 5.237
_cell_angle_alpha 115.33
_cell_angle_beta 106.93
_cell_angle_gamma 90.00
_space_group_name_H-M_alt 'P 1'
_space_group_IT_number 1
loop_
_space_group_symop_operation_xyz
'x,y,z'
loop_
_atom_site_label
_atom_site_fract_x
_atom_site_fract_y
_atom_site_fract_z
_atom_site_occupancy
Sb1 0.250 0.750 0.501 1
Tc1 0.749 0.249 0.499 1
Tc2 0.985 0.985 0.970 1
Os1 0.515 0.515 0.031 1


# Tc2SbOs, PBEsol geometry, DFT SCAN
# density of states at the Fermi level = 4.73 states/eV/f.u.
# space group = Pmmm, No. 47
data_Tc2SbOs
_cell_length_a 2.877
_cell_length_b 3.930
_cell_length_c 5.465
_cell_angle_alpha 90.00
_cell_angle_beta 90.00
_cell_angle_gamma 90.00
_space_group_name_H-M_alt 'P 1'
_space_group_IT_number 1
loop_
_space_group_symop_operation_xyz
'x,y,z'
loop_
_atom_site_label
_atom_site_fract_x
_atom_site_fract_y
_atom_site_fract_z
_atom_site_occupancy
Tc1 0.000 0.000 0.231 1
Sb1 0.500 0.500 0.500 1
Tc2 0.000 0.000 0.769 1
Os1 0.500 0.500 0.000 1


# Tc2SbOs, PBEsol geometry, DFT SCAN
# density of states at the Fermi level = 3.21 states/eV/f.u.
# space group = F-43m, No. 216
data_Tc2SbOs
_cell_length_a 4.427
_cell_length_b 4.427
_cell_length_c 4.427
_cell_angle_alpha 60.00
_cell_angle_beta 60.00
_cell_angle_gamma 60.00
_space_group_name_H-M_alt 'P 1'
_space_group_IT_number 1
loop_
_space_group_symop_operation_xyz
'x,y,z'
loop_
_atom_site_label
_atom_site_fract_x
_atom_site_fract_y
_atom_site_fract_z
_atom_site_occupancy
Sb1 0.250 0.250 0.250 1
Tc1 0.750 0.750 0.750 1
Tc2 0.000 0.000 0.000 1
Os1 0.500 0.500 0.500 1


# TcSb2Os, PBEsol geometry, DFT SCAN
# density of states at the Fermi level = 2.84 states/eV/f.u.
# space group = P4mm, No. 99
data_TcSb2Os
_cell_length_a 2.993
_cell_length_b 2.993
_cell_length_c 8.807
_cell_angle_alpha 90.00
_cell_angle_beta 90.00
_cell_angle_gamma 90.00
_space_group_name_H-M_alt 'P 1'
_space_group_IT_number 1
loop_
_space_group_symop_operation_xyz
'x,y,z'
loop_
_atom_site_label
_atom_site_fract_x
_atom_site_fract_y
_atom_site_fract_z
_atom_site_occupancy
Sb1 0.000 0.000 0.931 1
Sb2 0.500 0.500 0.318 1
Os1 0.500 0.500 0.718 1
Tc1 0.000 0.000 0.533 1


# ZnSbTe2Os, PBEsol geometry, DFT SCAN
# density of states at the Fermi level = 4.02 states/eV/f.u.
# space group = P4/mmm, No. 123
data_ZnSbTe2Os
_cell_length_a 4.860
_cell_length_b 4.997
_cell_length_c 4.997
_cell_angle_alpha 90.00
_cell_angle_beta 90.00
_cell_angle_gamma 90.00
_space_group_name_H-M_alt 'P 1'
_space_group_IT_number 1
loop_
_space_group_symop_operation_xyz
'x,y,z'
loop_
_atom_site_label
_atom_site_fract_x
_atom_site_fract_y
_atom_site_fract_z
_atom_site_occupancy
Os1 0.500 0.500 0.500 1
Te1 0.000 0.000 0.500 1
Sb1 0.500 0.000 0.000 1
Te2 0.000 0.500 0.000 1
Zn1 0.000 0.000 0.000 1


# ZrSbTe2Os, PBEsol geometry, DFT SCAN
# density of states at the Fermi level = 4.08 states/eV/f.u.
# space group = P4/mmm, No. 123
data_ZrSbTe2Os
_cell_length_a 5.379
_cell_length_b 5.379
_cell_length_c 5.501
_cell_angle_alpha 90.00
_cell_angle_beta 90.00
_cell_angle_gamma 90.00
_space_group_name_H-M_alt 'P 1'
_space_group_IT_number 1
loop_
_space_group_symop_operation_xyz
'x,y,z'
loop_
_atom_site_label
_atom_site_fract_x
_atom_site_fract_y
_atom_site_fract_z
_atom_site_occupancy
Sb1 0.000 0.000 0.500 1
Os1 0.500 0.500 0.500 1
Zr1 0.000 0.000 0.000 1
Te1 0.500 0.000 0.000 1
Te2 0.000 0.500 0.000 1


# TiSb2Os, PBEsol geometry, DFT SCAN
# density of states at the Fermi level = 1.85 states/eV/f.u.
# space group = Fm-3m, No. 225
data_TiSb2Os
_cell_length_a 4.660
_cell_length_b 4.660
_cell_length_c 4.660
_cell_angle_alpha 60.00
_cell_angle_beta 60.00
_cell_angle_gamma 60.00
_space_group_name_H-M_alt 'P 1'
_space_group_IT_number 1
loop_
_space_group_symop_operation_xyz
'x,y,z'
loop_
_atom_site_label
_atom_site_fract_x
_atom_site_fract_y
_atom_site_fract_z
_atom_site_occupancy
Sb1 0.750 0.750 0.750 1
Os1 0.500 0.500 0.500 1
Sb2 0.250 0.250 0.250 1
Ti1 0.000 0.000 0.000 1


# Tl2Sb2Os, PBEsol geometry, DFT SCAN
# density of states at the Fermi level = 3.82 states/eV/f.u.
# space group = I4/mmm, No. 139
data_Tl2Sb2Os
_cell_length_a 3.857
_cell_length_b 3.857
_cell_length_c 9.206
_cell_angle_alpha 102.09
_cell_angle_beta 102.09
_cell_angle_gamma 90.00
_space_group_name_H-M_alt 'P 1'
_space_group_IT_number 1
loop_
_space_group_symop_operation_xyz
'x,y,z'
loop_
_atom_site_label
_atom_site_fract_x
_atom_site_fract_y
_atom_site_fract_z
_atom_site_occupancy
Tl1 0.583 0.583 0.165 1
Sb1 0.750 0.250 0.500 1
Os1 0.000 0.000 0.000 1
Sb2 0.250 0.750 0.500 1
Tl2 0.417 0.417 0.835 1


# Tl2SbOs, PBEsol geometry, DFT SCAN
# density of states at the Fermi level = 1.48 states/eV/f.u.
# E above lowest polymorph = 0.000 eV per atom
# space group = Pm, No. 6
data_Tl2SbOs
_cell_length_a 3.205
_cell_length_b 3.212
_cell_length_c 8.873
_cell_angle_alpha 90.00
_cell_angle_beta 89.62
_cell_angle_gamma 90.00
_space_group_name_H-M_alt 'P 1'
_space_group_IT_number 1
loop_
_space_group_symop_operation_xyz
'x,y,z'
loop_
_atom_site_label
_atom_site_fract_x
_atom_site_fract_y
_atom_site_fract_z
_atom_site_occupancy
Sb1 0.468 0.500 0.683 1
Tl1 0.492 0.500 0.296 1
Os1 0.969 0.000 0.518 1
Tl2 0.071 0.000 0.004 1


# Tl2SbOs, PBEsol geometry, DFT SCAN
# density of states at the Fermi level = 2.20 states/eV/f.u.
# E above lowest polymorph = 0.554 eV per atom
# space group = I-4m2, No. 119
data_Tl2SbOs
_cell_length_a 4.812
_cell_length_b 4.812
_cell_length_c 4.812
_cell_angle_alpha 104.67
_cell_angle_beta 111.93
_cell_angle_gamma 111.93
_space_group_name_H-M_alt 'P 1'
_space_group_IT_number 1
loop_
_space_group_symop_operation_xyz
'x,y,z'
loop_
_atom_site_label
_atom_site_fract_x
_atom_site_fract_y
_atom_site_fract_z
_atom_site_occupancy
Os1 0.000 0.500 0.500 1
Tl1 0.500 0.250 0.750 1
Tl2 0.000 0.000 0.000 1
Sb1 0.500 0.750 0.250 1


# Sb3OsW, PBEsol geometry, DFT SCAN
# density of states at the Fermi level = 3.96 states/eV/f.u.
# space group = Pm-3m, No. 221
data_Sb3OsW
_cell_length_a 5.088
_cell_length_b 5.088
_cell_length_c 5.088
_cell_angle_alpha 90.00
_cell_angle_beta 90.00
_cell_angle_gamma 90.00
_space_group_name_H-M_alt 'P 1'
_space_group_IT_number 1
loop_
_space_group_symop_operation_xyz
'x,y,z'
loop_
_atom_site_label
_atom_site_fract_x
_atom_site_fract_y
_atom_site_fract_z
_atom_site_occupancy
Sb1 0.000 0.000 0.500 1
Os1 0.500 0.500 0.500 1
Sb2 0.500 0.000 0.000 1
W1 0.000 0.000 0.000 1
Sb3 0.000 0.500 0.000 1


Raw formation energy (computed, meV/atom): 90 2169 193 244 -27 -11 189 233 1591 387 390 395 229 1583 1283 112 1248 348 902 1724